1.
Below is a relaxed TlIn2F8 crystal, with properties calculated at the PBE level.

Summary:
**Size of the total moment**: 0.0000 μB/atom
**N(E_F)**: 0.27 states/eV per atom
**Calculated total energy**: -4.3230 eV per atom
**ρ**: 5.59 g/cm³

a b c (Å): 5.7174 5.7174 5.6593
angles (deg): 98.87 98.87 73.60
Last column: nearest neighbours and their distance in Å.
Fractional coordinates of all 11 atoms:
Tl 0.0000 0.0000 0.0000  6 F 2.27-2.48
In 0.3204 0.3204 0.5520  7 F 2.07-2.24
In 0.6796 0.6796 0.4480  7 F 2.07-2.24
F 0.0466 0.6654 0.6608  2 In 2.21-2.24
F 0.2075 0.2075 0.8352  1 In 2.07, 1 Tl 2.27
F 0.3346 0.9534 0.3392  2 In 2.21-2.24
F 0.4434 0.4434 0.2725  2 In 2.11-2.20
F 0.5566 0.5566 0.7275  2 In 2.11-2.20
F 0.6654 0.0466 0.6608  2 In 2.21-2.24
F 0.7925 0.7925 0.1648  1 In 2.07, 1 Tl 2.27
F 0.9534 0.3346 0.3392  2 In 2.21-2.24

2.
Below is a relaxed MoIr3Ru crystal, with properties calculated at the PBE level.

Summary:
**Distance to the lowest polymorph of the same formula**: 2.173 eV/atom
**Size of the total moment**: 0.6664 μB/atom
**N(E_F)**: 1.14 states/eV per atom
**ΔH_f (0 K)**: 2.02 eV/atom
**ρ**: 12.73 g/cm³

a b c (Å): 4.6563 4.6563 4.6563
angles (deg): 90.00 90.00 90.00
Last column: nearest neighbours and their distance in Å.
Fractional coordinates of all 5 atoms:
Mo 0.0000 0.0000 0.0000  12 Ir 3.29
Ir 0.0000 0.5000 0.5000  2 Ru 2.33
Ir 0.5000 0.0000 0.5000  2 Ru 2.33
Ir 0.5000 0.5000 0.0000  2 Ru 2.33
Ru 0.5000 0.5000 0.5000  6 Ir 2.33

3.
Below is a relaxed Sr2AlSn crystal, with properties calculated at the PBE level.

Summary:
**Size of the total moment**: 0.0000 μB/atom
**N(E_F)**: 0.47 states/eV per atom
**ΔH_f (0 K)**: -0.33 eV/atom
**ρ**: 4.19 g/cm³

a b c (Å): 5.3625 5.3625 4.4247
angles (deg): 90.00 90.00 90.00
Last column: nearest neighbours and their distance in Å.
Fractional coordinates of all 4 atoms:
Sr 0.0000 0.5000 0.0000  4 Sn 3.48, 4 Al 3.48, 4 Sr 3.79
Sr 0.5000 0.0000 0.0000  4 Sn 3.48, 4 Al 3.48, 4 Sr 3.79
Al 0.0000 0.0000 0.5000  8 Sr 3.48, 4 Sn 3.79
Sn 0.5000 0.5000 0.5000  8 Sr 3.48, 4 Al 3.79

4.
Below is a relaxed YZn2NiIr crystal, with properties calculated at the PBE level.

Summary:
**Size of the total moment**: 0.0000 μB/atom
**N(E_F)**: 0.60 states/eV per atom
**ΔH_f (0 K)**: 0.27 eV/atom
**ρ**: 8.08 g/cm³

a b c (Å): 4.4202 4.4202 4.9520
angles (deg): 90.00 90.00 90.00
Last column: nearest neighbours and their distance in Å.
Fractional coordinates of all 5 atoms:
Y 0.0000 0.0000 0.0000  2 Ni 2.48
Zn 0.0000 0.5000 0.5000  2 Ni 2.21
Zn 0.5000 0.0000 0.5000  2 Ni 2.21
Ni 0.0000 0.0000 0.5000  4 Zn 2.21
Ir 0.5000 0.5000 0.0000  4 Y 3.13, 8 Zn 3.32

5.
Below is a relaxed SiOsOF2 crystal, with properties calculated at the PBE level.

Summary:
**Distance to the lowest polymorph of the same formula**: 0.076 eV/atom
**Size of the total moment**: 0.6641 μB/atom
**N(E_F)**: 1.00 states/eV per atom
**ρ**: 6.98 g/cm³

a b c (Å): 4.4574 4.4574 3.2617
angles (deg): 90.00 90.00 90.00
Last column: nearest neighbours and their distance in Å.
Fractional coordinates of all 5 atoms:
Si 0.0000 0.0000 0.0000  2 O 1.63
Os 0.5000 0.5000 0.5000  8 F 2.76
O 0.0000 0.0000 0.5000  2 Si 1.63
F 0.0000 0.5000 0.0000  2 Si 2.23
F 0.5000 0.0000 0.0000  2 Si 2.23

6.
Below is a relaxed RbNpTiSe3 crystal, with properties calculated at the PBE level.

Summary:
**Size of the total moment**: 0.8139 μB/atom
**N(E_F)**: 1.84 states/eV per atom
**Calculated total energy**: -6.4953 eV per atom
**ρ**: 5.39 g/cm³

a b c (Å): 9.4760 4.1802 10.0397
angles (deg): 90.00 109.71 90.00
Last column: nearest neighbours and their distance in Å.
Fractional coordinates of all 12 atoms:
Rb 0.2083 0.2500 0.2328  7 Se 3.48-3.71
Rb 0.7917 0.7500 0.7672  7 Se 3.48-3.71
Np 0.3303 0.7500 0.8537  6 Se 2.87-3.02
Np 0.6697 0.2500 0.1463  6 Se 2.87-3.02
Ti 0.0835 0.2500 0.6006  4 Se 2.49-2.57
Ti 0.9165 0.7500 0.3994  4 Se 2.49-2.57
Se 0.1157 0.2500 0.8576  1 Ti 2.49
Se 0.1995 0.7500 0.5347  3 Ti 2.55-2.57
Se 0.4645 0.7500 0.1561  3 Np 2.87-2.88
Se 0.5355 0.2500 0.8439  3 Np 2.87-2.88
Se 0.8005 0.2500 0.4653  3 Ti 2.55-2.57
Se 0.8843 0.7500 0.1424  1 Ti 2.49

7.
Below is a relaxed Sc3MnGa2 crystal, with properties calculated at the PBE level.

Summary:
**Size of the total moment**: 0.3485 μB/atom
**N(E_F)**: 0.99 states/eV per atom
**ΔH_f (0 K)**: -0.39 eV/atom
**ρ**: 4.93 g/cm³

a b c (Å): 7.0770 7.0770 3.7570
angles (deg): 90.00 90.00 143.85
Last column: nearest neighbours and their distance in Å.
Fractional coordinates of all 6 atoms:
Sc 0.0000 0.0000 0.0000  4 Ga 2.82, 4 Mn 2.89, 4 Sc 3.15
Sc 0.3325 0.6675 0.0000  6 Ga 2.89-3.02, 2 Mn 2.93, 4 Sc 3.12-3.15
Sc 0.6675 0.3325 0.0000  6 Ga 2.89-3.02, 2 Mn 2.93, 4 Sc 3.12-3.15
Mn 0.5000 0.5000 0.5000  8 Sc 2.89-2.93, 4 Ga 3.04
Ga 0.1565 0.8435 0.5000  8 Sc 2.82-3.02, 2 Mn 3.04
Ga 0.8435 0.1565 0.5000  8 Sc 2.82-3.02, 2 Mn 3.04

8.
Below is a relaxed LiHgTe2Ir crystal, with properties calculated at the PBE level.

Summary:
**Size of the total moment**: 0.0000 μB/atom
**N(E_F)**: 0.95 states/eV per atom
**Calculated total energy**: -3.3529 eV per atom
**ρ**: 7.98 g/cm³

a b c (Å): 5.2219 5.2219 4.9963
angles (deg): 90.00 90.00 90.00
Last column: nearest neighbours and their distance in Å.
Fractional coordinates of all 5 atoms:
Li 0.0000 0.0000 0.0000  2 Ir 2.50
Hg 0.5000 0.5000 0.0000  8 Te 3.61, 4 Li 3.69
Te 0.0000 0.5000 0.5000  2 Ir 2.61
Te 0.5000 0.0000 0.5000  2 Ir 2.61
Ir 0.0000 0.0000 0.5000  2 Li 2.50, 4 Te 2.61

9.
Below is a relaxed NaHfAg2Se4 crystal, with properties calculated at the PBE level.

Summary:
**Size of the total moment**: 0.0000 μB/atom
**N(E_F)**: 0.39 states/eV per atom
**Calculated total energy**: -4.5006 eV per atom
**ρ**: 5.70 g/cm³

a b c (Å): 6.6406 6.6406 6.6406
angles (deg): 119.00 116.35 94.09
Last column: nearest neighbours and their distance in Å.
Fractional coordinates of all 8 atoms:
Na 0.0000 0.0000 0.0000  4 Se 3.02
Hf 0.5000 0.5000 0.0000  4 Se 2.54
Ag 0.3366 0.8366 0.5000  2 Se 2.56
Ag 0.6634 0.1634 0.5000  2 Se 2.56
Se 0.1183 0.1440 0.5580  1 Hf 2.54, 1 Ag 2.56
Se 0.4140 0.8560 0.9743  1 Hf 2.54, 1 Ag 2.56
Se 0.5860 0.5603 0.4420  1 Hf 2.54, 1 Ag 2.56
Se 0.8817 0.4397 0.0257  1 Hf 2.54, 1 Ag 2.56

10.
Below is a relaxed Ac2In12Sn crystal, with properties calculated at the PBE level.

Summary:
**Size of the total moment**: 0.0000 μB/atom
**N(E_F)**: 0.45 states/eV per atom
**ΔH_f (0 K)**: -0.16 eV/atom
**ρ**: 7.30 g/cm³

a b c (Å): 6.7152 6.7152 19.6730
angles (deg): 90.00 90.00 90.00
Last column: nearest neighbours and their distance in Å.
Fractional coordinates of all 30 atoms:
Ac 0.2500 0.7500 0.2274  14 In 3.59-4.02
Ac 0.2500 0.7500 0.7726  14 In 3.59-4.02
Ac 0.7500 0.2500 0.2274  14 In 3.59-4.02
Ac 0.7500 0.2500 0.7726  14 In 3.59-4.02
In 0.0025 0.5025 0.3912  6 In 3.04-3.36, 2 Sn 3.18-3.21
In 0.0025 0.9975 0.6088  6 In 3.04-3.36, 2 Sn 3.18-3.21
In 0.0789 0.5789 0.9352  4 In 2.96-3.25
In 0.0789 0.9211 0.0648  4 In 2.96-3.25
In 0.2500 0.2500 0.1502  5 In 2.84-3.00
In 0.2500 0.2500 0.2944  5 In 2.84-3.04
In 0.2500 0.2500 0.7056  5 In 2.84-3.04
In 0.2500 0.2500 0.8498  5 In 2.84-3.00
In 0.4211 0.5789 0.0648  4 In 2.96-3.25
In 0.4211 0.9211 0.9352  4 In 2.96-3.25
In 0.4975 0.5025 0.6088  6 In 3.04-3.36, 2 Sn 3.18-3.21
In 0.4975 0.9975 0.3912  6 In 3.04-3.36, 2 Sn 3.18-3.21
In 0.5025 0.0025 0.6088  6 In 3.04-3.36, 2 Sn 3.18-3.21
In 0.5025 0.4975 0.3912  6 In 3.04-3.36, 2 Sn 3.18-3.21
In 0.5789 0.0789 0.0648  4 In 2.96-3.25
In 0.5789 0.4211 0.9352  4 In 2.96-3.25
In 0.7500 0.7500 0.1502  5 In 2.84-3.00
In 0.7500 0.7500 0.2944  5 In 2.84-3.04
In 0.7500 0.7500 0.7056  5 In 2.84-3.04
In 0.7500 0.7500 0.8498  5 In 2.84-3.00
In 0.9211 0.0789 0.9352  4 In 2.96-3.25
In 0.9211 0.4211 0.0648  4 In 2.96-3.25
In 0.9975 0.0025 0.3912  6 In 3.04-3.36, 2 Sn 3.18-3.21
In 0.9975 0.4975 0.6088  6 In 3.04-3.36, 2 Sn 3.18-3.21
Sn 0.2500 0.7500 0.5000  8 In 3.18-3.21
Sn 0.7500 0.2500 0.5000  8 In 3.18-3.21